# 1
Compound: Ti2MnAl2
Source: Alexandria via LeMat-Bulk
Functional: PBE
Structure: optimized geometry

## Properties
The calculation puts the total moment at 0.0 Bohr magnetons per cell. The formation energy comes out at -0.1171 eV per atom. Its crystal system is tetragonal. Its uncorrected energy is -6.606 eV/atom.

Cell: 6.566 6.566 3.565 Å, 90.00 90.00 90.00°
Atoms (fractional coordinates):
1 Ti 0.169 0.331 0.000
2 Ti 0.331 0.831 0.000
3 Ti 0.669 0.169 0.000
4 Ti 0.831 0.669 0.000
5 Mn 0.000 0.000 0.500
6 Mn 0.500 0.500 0.500
7 Al 0.136 0.636 0.500
8 Al 0.364 0.136 0.500
9 Al 0.636 0.864 0.500
10 Al 0.864 0.364 0.500

=====

# 2
Compound: Ti2Mn2Al
Source: Alexandria via LeMat-Bulk
Functional: PBE
Structure: optimized geometry

## Properties
The calculation puts the total moment at 0.3 Bohr magnetons per cell. The energy above the lowest structure with this stoichiometry comes out at 0 meV per atom. The formation energy comes out at -0.0926 eV per atom. Its crystal system is tetragonal. Its uncorrected energy is -7.667 eV/atom.

Cell: 6.642 6.642 3.204 Å, 90.00 90.00 90.00°
Atoms (fractional coordinates):
1 Ti 0.163 0.337 0.000
2 Ti 0.337 0.837 0.000
3 Ti 0.663 0.163 0.000
4 Ti 0.837 0.663 0.000
5 Mn 0.140 0.640 0.500
6 Mn 0.360 0.140 0.500
7 Mn 0.640 0.860 0.500
8 Mn 0.860 0.360 0.500
9 Al 0.000 0.000 0.500
10 Al 0.500 0.500 0.500

=====

# 3
Compound: Ti3Mn4Al
Source: Alexandria via LeMat-Bulk
Functional: PBE
Structure: optimized geometry

## Properties
The calculation puts the total moment at 4.2 Bohr magnetons per cell. The formation energy comes out at -0.2550 eV per atom. Its crystal system is tetragonal. Its uncorrected energy is -8.268 eV/atom.

Cell: 3.007 3.007 11.766 Å, 90.00 90.00 90.00°
Atoms (fractional coordinates):
1 Ti 0.000 0.000 0.000
2 Ti 0.000 0.000 0.252
3 Ti 0.000 0.000 0.748
4 Mn 0.500 0.500 0.127
5 Mn 0.500 0.500 0.377
6 Mn 0.500 0.500 0.623
7 Mn 0.500 0.500 0.873
8 Al 0.000 0.000 0.500

=====

# 4
Compound: TiMnAl
Source: Alexandria via LeMat-Bulk
Functional: PBE
Structure: optimized geometry

## Properties
The calculation puts the total moment at 0.2 Bohr magnetons per cell. The formation energy comes out at 0.2328 eV per atom. Its crystal system is cubic. Its uncorrected energy is -6.703 eV/atom.

Cell: 4.113 4.113 4.113 Å, 60.00 60.00 60.00°
Atoms (fractional coordinates):
1 Ti 0.000 0.000 0.000
2 Mn 0.750 0.750 0.750
3 Al 0.500 0.500 0.500

=====

# 5
Compound: TiMnAl
Source: Alexandria via LeMat-Bulk
Functional: PBE
Structure: optimized geometry

## Properties
The calculation puts the total moment at 0.0 Bohr magnetons per cell. The formation energy comes out at -0.2132 eV per atom. Its crystal system is monoclinic. Its uncorrected energy is -7.149 eV/atom.

Cell: 4.398 4.398 5.417 Å, 101.81 101.81 59.34°
Atoms (fractional coordinates):
1 Ti 0.142 0.142 0.355
2 Ti 0.858 0.858 0.645
3 Mn 0.469 0.469 0.298
4 Mn 0.531 0.531 0.702
5 Al 0.228 0.228 0.866
6 Al 0.772 0.772 0.134

=====

# 6
Compound: TiMn6Al12
Source: Alexandria via LeMat-Bulk
Functional: PBE
Structure: optimized geometry

## Properties
The calculation puts the total moment at 13.5 Bohr magnetons per cell. The formation energy comes out at -0.1237 eV per atom. Its crystal system is cubic. Its uncorrected energy is -5.799 eV/atom.

Cell: 7.175 7.175 7.175 Å, 109.47 109.47 109.47°
Atoms (fractional coordinates):
1 Ti 0.000 0.000 0.000
2 Mn 0.147 0.500 0.647
3 Mn 0.353 0.853 0.500
4 Mn 0.500 0.353 0.853
5 Mn 0.500 0.647 0.147
6 Mn 0.647 0.147 0.500
7 Mn 0.853 0.500 0.353
8 Al 0.094 0.272 0.822
9 Al 0.178 0.450 0.272
10 Al 0.178 0.906 0.728
11 Al 0.272 0.178 0.450
12 Al 0.272 0.822 0.094
13 Al 0.450 0.272 0.178
14 Al 0.550 0.728 0.822
15 Al 0.728 0.178 0.906
16 Al 0.728 0.822 0.550
17 Al 0.822 0.094 0.272
18 Al 0.822 0.550 0.728
19 Al 0.906 0.728 0.178